NiPI: relaxed, PBE.

```
NiPI
1.0
11.037 0.000 0.000
0.000 3.598 0.000
0.000 0.000 7.032
Ni P I
4 4 4
Direct
0.138 0.250 0.067 Ni
0.362 0.750 0.567 Ni
0.638 0.250 0.433 Ni
0.862 0.750 0.933 Ni
0.013 0.750 0.134 P
0.487 0.250 0.634 P
0.513 0.750 0.366 P
0.987 0.250 0.866 P
0.205 0.250 0.447 I
0.295 0.750 0.947 I
0.705 0.250 0.053 I
0.795 0.750 0.553 I
```

Output
Magnetization: 0.00 μB per formula unit
DOS at the Fermi energy: 0.8 states/eV per cell
Formation energy (no corrections): -7.31 kJ/mol of atoms